Density functional theory data (PBE) for a relaxed structure of Dy2FeCo.

```
Dy2FeCo
1.0
3.3322 0.0000 0.0000
1.6661 2.8858 0.0000
1.6661 0.9619 9.1204
Dy Fe Co
2 1 1
Direct
0.9008 0.9008 0.2975
0.0992 0.0992 0.7025
0.0000 0.0000 0.0000
0.5000 0.5000 0.5000
```

Output
mass density: 8.33 g/cm3
final energy: -5.584 eV/atom
Fermi-level density of states: 3.5 states/eV/cell
formation enthalpy at 0 K: 0.61 eV per atom


Density functional theory data (PBE) for a relaxed structure of DyFe2Co.

```
DyFe2Co
1.0
-2.6194 1.4489 -4.1006
0.1847 -2.7810 -4.2435
-7.2060 -4.7695 -0.2250
Dy Fe Co
3 6 3
Direct
0.1422 0.1422 0.5735
0.8578 0.8578 0.4265
0.0000 0.0000 0.0000
0.5814 0.5814 0.7554
0.4186 0.9181 0.2446
0.0819 0.5814 0.7554
0.5814 0.0819 0.7554
0.4186 0.4186 0.2446
0.9181 0.4186 0.2446
0.6678 0.6678 0.9966
0.3322 0.3322 0.0034
0.5000 0.5000 0.5000
```

Output
mass density: 9.14 g/cm3
final energy: -7.279 eV/atom
Fermi-level density of states: 9.3 states/eV/cell
formation enthalpy at 0 K: -0.12 eV per atom


Density functional theory data (PBE) for a relaxed structure of DyFe2Co9.

```
DyFe2Co9
1.0
4.6774 0.0000 0.0000
0.0000 8.0131 0.0000
0.0000 0.0000 8.0131
Dy Fe Co
2 4 18
Direct
0.0000 0.0000 0.0000
0.0000 0.5000 0.5000
0.0000 0.1154 0.3846
0.0000 0.8846 0.6154
0.0000 0.3846 0.8846
0.0000 0.6154 0.1154
0.2348 0.3212 0.1788
0.2348 0.1788 0.6788
0.2348 0.8212 0.3212
0.5000 0.9349 0.7866
0.5000 0.2134 0.9349
0.7652 0.6788 0.8212
0.7652 0.1788 0.6788
0.5000 0.0651 0.2134
0.5000 0.5651 0.2866
0.7652 0.3212 0.1788
0.2348 0.6788 0.8212
0.5000 0.7866 0.0651
0.5000 0.5000 0.0000
0.5000 0.7134 0.5651
0.7652 0.8212 0.3212
0.5000 0.0000 0.5000
0.5000 0.4349 0.7134
0.5000 0.2866 0.4349
```

Output
mass density: 8.90 g/cm3
final energy: -7.202 eV/atom
Fermi-level density of states: 29.0 states/eV/cell
formation enthalpy at 0 K: -0.08 eV per atom


Density functional theory data (PBE) for a relaxed structure of DyFe7Co5.

```
DyFe7Co5
1.0
4.3853 0.0000 1.8010
2.2003 5.8986 0.8818
-0.0483 -0.0011 6.3569
Co Dy Fe
5 1 7
Direct
0.0010 0.9989 0.4995
0.7265 0.7735 0.7735
0.5006 0.4995 0.9989
0.5006 0.9989 0.4995
0.0010 0.4995 0.9989
0.0001 0.9999 0.9999
0.3567 0.6433 0.6433
0.9995 0.3588 0.6423
0.2720 0.2280 0.2280
0.5008 0.2237 0.7747
0.5008 0.7747 0.2237
0.9995 0.6423 0.3588
0.6409 0.3591 0.3591
```

Output
mass density: 8.54 g/cm3
final energy: -7.722 eV/atom
Fermi-level density of states: 11.7 states/eV/cell
formation enthalpy at 0 K: -0.08 eV per atom